VASP calculation (PBE) on a relaxed structure of NbNi2Pt.

Summary:
The value obtained for the total magnetic moment is 0.00 μB/f.u. The calculation puts the density of states at the Fermi level at 2.5 states/eV/f.u. Its formation energy from the elements is -0.290 eV per atom. Its crystal system is monoclinic.

Cell lengths 3.693, 2.765, 6.087 Å; angles 116.90, 90.00, 90.00 degrees
Fractional coordinates of all 4 atoms:
Ni 0.000 0.249 0.249
Ni 0.000 0.751 0.751
Pt 0.500 0.000 0.500
Nb 0.500 0.500 0.000